# 1
Entry from the Alexandria database: LiTlPt2 after structural relaxation (PBE).

a b c (Å): 4.0854 4.0854 3.9759
angles (deg): 90.00 90.00 90.00
Closest atoms and distances in Å follow each position.
Space group P4/mmm (No. 123)
Symmetry-distinct sites (fractional):
Li 0.0000 0.0000 0.0000 x1  8 Pt 2.85, 4 Tl 2.89
Tl 0.5000 0.5000 0.0000 x1  8 Pt 2.85, 4 Li 2.89
Pt 0.0000 0.5000 0.5000 x2  4 Tl 2.85, 4 Li 2.85, 4 Pt 2.89

Computed properties:
total magnetization = 0.00 μB/f.u.
energy = -17.74 eV/cell

=====

# 2
Entry from the Alexandria database: Li14TlPt after structural relaxation (PBE).

a b c (Å): 6.6137 6.6137 6.5477
angles (deg): 90.00 90.00 90.00
Closest atoms and distances in Å follow each position.
Space group P4/mmm (No. 123)
Symmetry-distinct sites (fractional):
Li 0.0000 0.0000 0.0000 x1  8 Li 2.80
Li 0.0000 0.5000 0.0000 x2  10 Li 2.94-3.27
Li 0.0000 0.5000 0.5000 x2  8 Li 2.78
Li 0.2311 0.2311 0.2710 x8  1 Pt 2.63, 5 Li 2.78-2.94, 1 Tl 2.93
Li 0.5000 0.5000 0.0000 x1  12 Li 3.08-3.31, 2 Tl 3.27
Tl 0.5000 0.5000 0.5000 x1  10 Li 2.93-3.27
Pt 0.0000 0.0000 0.5000 x1  8 Li 2.63

Computed properties:
total magnetization = 0.00 μB/f.u.
energy = -37.62 eV/cell

=====

# 3
Entry from the Alexandria database: Li2Tl2Pt after structural relaxation (PBE).

a b c (Å): 6.5812 6.5812 4.4737
angles (deg): 90.00 90.00 90.00
Closest atoms and distances in Å follow each position.
Space group P4/mbm (No. 127)
Symmetry-distinct sites (fractional):
Li 0.1446 0.3554 0.0000 x4  2 Pt 2.53, 1 Li 2.69, 2 Tl 2.78
Tl 0.1789 0.6789 0.5000 x4  6 Li 2.78-3.10
Pt 0.0000 0.0000 0.0000 x2  4 Li 2.53

Computed properties:
total magnetization = 0.00 μB/f.u.
energy = -30.70 eV/cell

=====

# 4
Entry from the Alexandria database: LiTlPt2 after structural relaxation (PBE).

a b c (Å): 3.9652 3.9652 18.6450
angles (deg): 90.00 90.00 90.00
Closest atoms and distances in Å follow each position.
Space group I-42d (No. 122)
Symmetry-distinct sites (fractional):
Li 0.0000 0.0000 0.0000 x4  4 Pt 2.69, 4 Tl 2.80
Tl 0.0000 0.0000 0.5000 x4  4 Pt 2.75, 4 Li 2.80
Pt 0.2300 0.2500 0.1250 x8  2 Li 2.69, 4 Pt 2.69-2.92, 2 Tl 2.75

Computed properties:
total magnetization = 0.00 μB/f.u.
energy = -66.89 eV/cell

=====

# 5
Entry from the Alexandria database: Li4Tl3Pt after structural relaxation (PBE).

a b c (Å): 3.3112 3.3112 13.6700
angles (deg): 90.00 90.00 90.00
Closest atoms and distances in Å follow each position.
Space group P4/mmm (No. 123)
Symmetry-distinct sites (fractional):
Li 0.0000 0.0000 0.0912 x2  1 Li 2.49, 4 Pt 2.65
Li 0.0000 0.0000 0.3572 x2  8 Tl 3.02-3.05, 4 Li 3.31
Tl 0.5000 0.5000 0.2179 x2  8 Li 2.91-3.02, 1 Pt 2.98
Tl 0.5000 0.5000 0.5000 x1  8 Li 3.05, 4 Tl 3.31
Pt 0.5000 0.5000 0.0000 x1  8 Li 2.65

Computed properties:
total magnetization = 0.00 μB/f.u.
energy = -23.17 eV/cell

=====

# 6
Entry from the Alexandria database: LiTlPt2 after structural relaxation (PBE).

a b c (Å): 3.0504 3.0504 6.9730
angles (deg): 90.00 90.00 90.00
Closest atoms and distances in Å follow each position.
Space group P4/mmm (No. 123)
Symmetry-distinct sites (fractional):
Li 0.0000 0.0000 0.0000 x1  8 Pt 2.62
Tl 0.0000 0.0000 0.5000 x1  8 Pt 2.94, 4 Tl 3.05
Pt 0.5000 0.5000 0.2126 x2  4 Li 2.62

Computed properties:
total magnetization = 0.00 μB/f.u.
energy = -17.16 eV/cell

=====

# 7
Entry from the Alexandria database: Li4Tl2Pt after structural relaxation (PBE).

a b c (Å): 4.6456 4.6456 20.2850
angles (deg): 90.00 90.00 120.00
Closest atoms and distances in Å follow each position.
Space group R-3m (No. 166, hexagonal axes)
Symmetry-distinct sites (fractional):
Li 0.0000 0.0000 0.0916 x6  4 Tl 2.69-2.79, 3 Li 2.90
Li 0.0000 0.0000 0.3702 x6  1 Pt 2.63, 1 Tl 2.86, 3 Li 2.90
Tl 0.0000 0.0000 0.2293 x6  8 Li 2.69-3.01, 3 Pt 2.97
Pt 0.0000 0.0000 0.5000 x3  2 Li 2.63

Computed properties:
total magnetization = 0.00 μB/f.u.
energy = -61.75 eV/cell

=====

# 8
Entry from the Alexandria database: LiTl4Pt after structural relaxation (PBE).

a b c (Å): 8.7216 8.7216 8.7216
angles (deg): 90.00 90.00 90.00
Closest atoms and distances in Å follow each position.
Space group F-43m (No. 216)
Symmetry-distinct sites (fractional):
Li 0.0000 0.0000 0.0000 x4  12 Tl 3.62, 4 Pt 3.78
Tl 0.1243 0.1243 0.3757 x16  6 Tl 3.07-3.10
Pt 0.2500 0.2500 0.7500 x4  12 Tl 3.61, 4 Li 3.78

Computed properties:
total magnetization = 0.00 μB/f.u.
energy = -60.80 eV/cell

=====

# 9
Entry from the Alexandria database: LiTlPt after structural relaxation (PBE).

a b c (Å): 4.5681 4.5681 2.9400
angles (deg): 90.00 90.00 120.00
Closest atoms and distances in Å follow each position.
Space group P3m1 (No. 156)
Symmetry-distinct sites (fractional):
Li 0.0000 0.0000 0.0000 x1  3 Pt 2.75, 3 Tl 2.85, 2 Li 2.94
Tl 0.6667 0.3333 0.6330 x1  3 Pt 2.85, 3 Li 2.85, 2 Tl 2.94
Pt 0.3333 0.6667 0.2663 x1  3 Li 2.75, 3 Tl 2.85, 2 Pt 2.94

Computed properties:
total magnetization = 0.00 μB/f.u.
energy = -11.14 eV/cell

=====

# 10
Entry from the Alexandria database: Li6TlPt2 after structural relaxation (PBE).

a b c (Å): 2.7803 7.5379 7.5405
angles (deg): 119.95 90.01 90.10
Closest atoms and distances in Å follow each position.
Space group P-1 (No. 2)
Symmetry-distinct sites (fractional):
Li 0.0912 0.0008 0.3504 x2  1 Li 2.32
Li 0.0911 0.3496 0.9994 x2  1 Li 2.32
Li 0.0925 0.6493 0.6503 x2  1 Li 2.32
Tl 0.5000 0.0000 0.0000 x1  2 Tl 2.78, 10 Li 2.87-3.11
Pt 0.4978 0.6668 0.3331 x2  12 Li 2.70-2.96, 2 Pt 2.78

Computed properties:
total magnetization = 0.00 μB/f.u.
energy = -29.37 eV/cell

=====

# 11
Entry from the Alexandria database: LiTlPt2 after structural relaxation (PBE).

a b c (Å): 2.8983 2.8983 28.4560
angles (deg): 90.00 90.00 120.00
Closest atoms and distances in Å follow each position.
Space group R-3m (No. 166, hexagonal axes)
Symmetry-distinct sites (fractional):
Li 0.0000 0.0000 0.0000 x3  6 Pt 2.67, 6 Li 2.90
Tl 0.0000 0.0000 0.5000 x3  6 Tl 2.90, 6 Pt 3.14
Pt 0.0000 0.0000 0.2602 x6  3 Li 2.67, 6 Pt 2.90

Computed properties:
total magnetization = 0.00 μB/f.u.
energy = -50.68 eV/cell

=====

# 12
Entry from the Alexandria database: Li3TlPt after structural relaxation (PBE).

a b c (Å): 4.8613 4.8686 7.5697
angles (deg): 83.34 72.19 72.63
Closest atoms and distances in Å follow each position.
Space group P-1 (No. 2)
Symmetry-distinct sites (fractional):
Li 0.0539 0.2449 0.4068 x2  7 Li 2.73-2.92, 3 Pt 2.75-2.84, 2 Tl 2.85-2.88
Li 0.2471 0.2492 0.0045 x2  4 Tl 2.79-2.83, 4 Li 2.81-2.90, 4 Pt 2.84-2.89
Li 0.4355 0.2592 0.6152 x2  2 Pt 2.71-2.76, 3 Tl 2.77-3.02, 6 Li 2.80-2.92
Tl 0.3421 0.7565 0.8036 x2  9 Li 2.77-3.02, 3 Pt 2.88-2.94
Pt 0.1518 0.7437 0.2117 x2  9 Li 2.71-2.89, 3 Tl 2.88-2.94

Computed properties:
total magnetization = 0.00 μB/f.u.
energy = -31.97 eV/cell